Pr5Sm4Cd after structural relaxation, computed with PBE-GGA.

Unit cell a=6.044 b=8.203 c=8.203 alpha=82.20 beta=68.38 gamma=68.38
Positions (direct):
Cd  0.183  0.000  0.000
Sm  0.145  0.319  0.320
Sm  0.465  0.320  0.681
Sm  0.465  0.680  0.319
Sm  0.784  0.681  0.680
Pr  0.766  0.000  0.372
Pr  0.657  0.000  0.000
Pr  0.139  0.000  0.628
Pr  0.139  0.628  0.000
Pr  0.766  0.372  0.000

## Properties
ΔE to the lowest computed polymorph = 0.92 eV/f.u.
Total magnetization = 0.00 μB per formula unit
Energy relative to the elements = 129 meV per atom
SG = No. 107

BeHg2Ir after structural relaxation, computed with PBE-GGA.

Unit cell a=4.766 b=4.766 c=3.149 alpha=90.00 beta=90.00 gamma=108.57
Positions (direct):
Be  0.000  0.500  0.500
Hg  0.000  0.000  0.000
Hg  0.500  0.500  0.000
Ir  0.500  0.000  0.500

## Properties
Total magnetization = 0.00 μB per formula unit
Energy relative to the elements = 546 meV per atom
SG = No. 65

YZrCo6 after structural relaxation, computed with PBE-GGA.

Unit cell a=4.847 b=4.847 c=16.493 alpha=98.45 beta=98.45 gamma=60.00
Each line ends with the local moment (μB).
Positions (direct):
Co  0.459  0.960  0.878  1.12
Co  0.041  0.540  0.623  0.60
Co  0.168  0.168  0.502  -0.50
Co  0.250  0.250  0.749  0.82
Co  0.960  0.960  0.384  -1.11
Co  0.960  0.464  0.384  -1.11
Co  0.459  0.459  0.878  1.12
Co  0.037  0.540  0.118  -0.97
Co  0.540  0.041  0.623  0.60
Co  0.464  0.960  0.384  -1.11
Co  0.834  0.834  0.503  -0.80
Co  0.750  0.750  0.251  -0.89
Co  0.540  0.037  0.118  -0.97
Co  0.041  0.041  0.623  0.60
Co  0.666  0.666  0.997  0.47
Co  0.540  0.540  0.118  -0.97
Co  0.960  0.459  0.878  1.12
Co  0.332  0.332  0.997  0.73
Zr  0.000  0.000  0.999  -0.09
Zr  0.568  0.568  0.704  -0.17
Zr  0.501  0.501  0.502  0.16
Y  0.431  0.431  0.293  0.22
Y  0.069  0.069  0.208  0.18
Y  0.930  0.930  0.789  -0.19

## Properties
Total magnetization = 0.35 μB per formula unit
Energy relative to the elements = -161 meV per atom
SG = No. 160

Pr2Sm5Y2 after structural relaxation, computed with PBE-GGA.

Unit cell a=11.652 b=7.229 c=10.488 alpha=110.17 beta=128.91 gamma=90.06
Positions (direct):
Sm  0.736  0.831  0.756
Sm  0.421  0.872  0.338
Sm  0.085  0.648  0.888
Sm  0.063  0.227  0.551
Sm  0.418  0.373  0.339
Sm  0.775  0.258  0.113
Sm  0.083  0.150  0.892
Sm  0.767  0.759  0.107
Sm  0.734  0.334  0.756
Sm  0.059  0.730  0.546
Pr  0.431  0.462  0.021
Pr  0.393  0.540  0.667
Pr  0.748  0.925  0.439
Pr  0.106  0.066  0.230
Y  0.399  0.037  0.669
Y  0.105  0.570  0.229
Y  0.746  0.423  0.439
Y  0.431  0.967  0.022

## Properties
ΔE to the lowest computed polymorph = 0.21 eV/f.u.
Total magnetization = 0.00 μB per formula unit
Energy relative to the elements = 36 meV per atom
SG = No. 1

SrY4Al after structural relaxation, computed with PBE-GGA.

Unit cell a=6.556 b=6.556 c=6.556 alpha=60.00 beta=60.00 gamma=60.00
Positions (direct):
Y  0.376  0.376  0.376
Y  0.376  0.376  0.872
Y  0.376  0.872  0.376
Y  0.872  0.376  0.376
Sr  0.000  0.000  0.000
Al  0.750  0.750  0.750

## Properties
Total magnetization = 0.00 μB per formula unit
Energy relative to the elements = 328 meV per atom
SG = No. 216